Entry 1:
# PBE-GGA KTmMgBr6, relaxed
# electronic total energy	-3.637	eV/atom
# symmetry	P-31c, No. 163
# formation energy (no corrections)	-39.8	kcal/mol of atoms
data_KTmMgBr6
_chemical_formula_sum 'K2 Tm2 Mg2 Br12'
_symmetry_space_group_name_H-M 'P 1'
_symmetry_Int_Tables_number 1
_cell_length_a 7.106
_cell_length_b 7.106
_cell_length_c 14.661
_cell_angle_alpha 90.00
_cell_angle_beta 90.00
_cell_angle_gamma 120.00
loop_
_symmetry_equiv_pos_as_xyz
'x,y,z'
loop_
_atom_site_label
_atom_site_type_symbol
_atom_site_fract_x
_atom_site_fract_y
_atom_site_fract_z
Br1 Br 0.993 0.625 0.858
Br2 Br 0.368 0.993 0.142
Br3 Br 0.993 0.368 0.642
Br4 Br 0.375 0.368 0.858
Br5 Br 0.007 0.632 0.358
Br6 Br 0.625 0.993 0.358
Br7 Br 0.632 0.625 0.642
Br8 Br 0.632 0.007 0.858
Br9 Br 0.007 0.375 0.142
Br10 Br 0.625 0.632 0.142
Br11 Br 0.375 0.007 0.642
Br12 Br 0.368 0.375 0.358
Tm1 Tm 0.667 0.333 0.250
Tm2 Tm 0.333 0.667 0.750
Mg1 Mg 0.667 0.333 0.750
Mg2 Mg 0.333 0.667 0.250
K1 K 0.000 0.000 0.000
K2 K 0.000 0.000 0.500


Entry 2:
# PBE-GGA K2ErZn2Se4, relaxed
# electronic total energy	-3.679	eV/atom
# symmetry	C2/m, No. 12
# formation energy (no corrections)	-25.3	kcal/mol of atoms
data_K2ErZn2Se4
_chemical_formula_sum 'K2 Er1 Zn2 Se4'
_symmetry_space_group_name_H-M 'P 1'
_symmetry_Int_Tables_number 1
_cell_length_a 4.047
_cell_length_b 8.158
_cell_length_c 8.291
_cell_angle_alpha 112.59
_cell_angle_beta 104.12
_cell_angle_gamma 90.00
loop_
_symmetry_equiv_pos_as_xyz
'x,y,z'
loop_
_atom_site_label
_atom_site_type_symbol
_atom_site_fract_x
_atom_site_fract_y
_atom_site_fract_z
K1 K 0.872 0.439 0.745
K2 K 0.128 0.561 0.255
Se1 Se 0.191 0.211 0.382
Se2 Se 0.470 0.221 0.941
Se3 Se 0.530 0.779 0.059
Se4 Se 0.809 0.789 0.618
Zn1 Zn 0.313 0.986 0.626
Zn2 Zn 0.687 0.014 0.374
Er1 Er 0.000 0.000 0.000